Entry 1:
Compound: ScAlGe
Source: Alexandria
Functional: PBE
Structure: optimized geometry

```
ScAlGe
1.0
3.878 0.000 0.000
0.000 4.047 0.000
0.000 0.000 14.054
Sc Al Ge
4 4 4
direct
0.000 0.000 0.000
0.000 0.500 0.500
0.500 0.000 0.185
0.500 0.500 0.685
0.500 0.000 0.512
0.500 0.000 0.844
0.500 0.500 0.012
0.500 0.500 0.344
0.000 0.000 0.349
0.000 0.000 0.645
0.000 0.500 0.145
0.000 0.500 0.849
```

Uncorrected energy in eV/atom: -5.39
Magnetization in Bohr magnetons per cell: 0.00
Theoretical density in Mg/m³: 4.35
SG: No. 38

Entry 2:
Compound: ScAlGe
Source: Alexandria
Functional: PBE
Structure: optimized geometry

```
ScAlGe
1.0
3.899 0.000 0.000
0.000 3.899 0.000
0.000 0.000 7.193
Sc Al Ge
2 2 2
direct
0.250 0.250 0.166
0.750 0.750 0.834
0.250 0.750 0.500
0.750 0.250 0.500
0.250 0.250 0.781
0.750 0.750 0.219
```

Uncorrected energy in eV/atom: -5.41
Magnetization in Bohr magnetons per cell: 0.00
Theoretical density in Mg/m³: 4.39
SG: No. 129

Entry 3:
Compound: Sc11Al2Ge8
Source: Alexandria
Functional: PBE
Structure: optimized geometry

```
Sc11Al2Ge8
1.0
-5.219 5.219 7.504
5.219 -5.219 7.504
5.219 5.219 -7.504
Sc Al Ge
22 4 16
direct
0.059 0.310 0.749
0.103 0.439 0.336
0.103 0.767 0.664
0.170 0.170 0.000
0.233 0.897 0.336
0.310 0.059 0.749
0.310 0.562 0.251
0.328 0.328 0.657
0.328 0.672 0.000
0.438 0.690 0.749
0.439 0.103 0.336
0.561 0.897 0.664
0.562 0.310 0.251
0.672 0.328 0.000
0.672 0.672 0.343
0.690 0.438 0.749
0.690 0.941 0.251
0.767 0.103 0.664
0.830 0.830 0.000
0.897 0.233 0.336
0.897 0.561 0.664
0.941 0.690 0.251
0.127 0.127 0.255
0.127 0.873 0.000
0.873 0.127 0.000
0.873 0.873 0.745
0.033 0.033 0.408
0.033 0.626 0.000
0.147 0.500 0.647
0.250 0.750 0.500
0.374 0.374 0.408
0.374 0.967 0.000
0.382 0.382 0.000
0.500 0.147 0.647
0.500 0.853 0.353
0.618 0.618 0.000
0.626 0.033 0.000
0.626 0.626 0.592
0.750 0.250 0.500
0.853 0.500 0.353
0.967 0.374 0.000
0.967 0.967 0.592
```

Uncorrected energy in eV/atom: -6.25
Magnetization in Bohr magnetons per cell: 0.00
Theoretical density in Mg/m³: 4.59
SG: No. 139

Entry 4:
Compound: Sc3AlGe3
Source: Alexandria
Functional: PBE
Structure: optimized geometry

```
Sc3AlGe3
1.0
8.150 0.000 0.000
-4.075 7.058 0.000
0.000 0.000 5.500
Sc Al Ge
6 2 6
direct
0.054 0.687 0.250
0.313 0.367 0.250
0.367 0.054 0.750
0.633 0.946 0.250
0.687 0.633 0.750
0.946 0.313 0.750
0.333 0.667 0.750
0.667 0.333 0.250
0.046 0.697 0.750
0.303 0.348 0.750
0.348 0.046 0.250
0.652 0.954 0.750
0.697 0.652 0.250
0.954 0.303 0.250
```

Uncorrected energy in eV/atom: -5.70
Magnetization in Bohr magnetons per cell: 0.00
Theoretical density in Mg/m³: 3.99
SG: No. 176

Entry 5:
Compound: ScAl2Ge4
Source: Alexandria
Functional: PBE
Structure: optimized geometry

```
ScAl2Ge4
1.0
5.128 0.000 0.000
0.000 5.128 0.000
0.000 0.000 12.940
Sc Al Ge
2 4 8
direct
0.000 0.000 0.000
0.500 0.500 0.500
0.000 0.000 0.398
0.000 0.000 0.602
0.500 0.500 0.102
0.500 0.500 0.898
0.000 0.000 0.206
0.000 0.000 0.794
0.000 0.500 0.000
0.000 0.500 0.500
0.500 0.000 0.000
0.500 0.000 0.500
0.500 0.500 0.294
0.500 0.500 0.706
```

Uncorrected energy in eV/atom: -4.22
Magnetization in Bohr magnetons per cell: 0.00
Theoretical density in Mg/m³: 3.80
SG: No. 139

Entry 6:
Compound: Sc2Al2Ge
Source: Alexandria
Functional: PBE
Structure: optimized geometry

```
Sc2Al2Ge
1.0
6.730 0.000 0.000
0.000 6.730 0.000
0.000 0.000 4.285
Sc Al Ge
4 4 2
direct
0.168 0.332 0.000
0.332 0.832 0.000
0.668 0.168 0.000
0.832 0.668 0.000
0.133 0.633 0.500
0.367 0.133 0.500
0.633 0.867 0.500
0.867 0.367 0.500
0.000 0.000 0.500
0.500 0.500 0.500
```

Relative energy among the computed polymorphs in kcal/mol of atoms: 0.00
Magnetization in Bohr magnetons per cell: 0.00
Theoretical density in Mg/m³: 3.71
SG: No. 127

Entry 7:
Compound: Sc2Al2Ge
Source: Alexandria
Functional: PBE
Structure: optimized geometry

```
Sc2Al2Ge
1.0
6.992 0.000 0.000
0.000 6.992 0.000
0.000 0.000 4.342
Sc Al Ge
4 4 2
direct
0.159 0.341 0.000
0.341 0.841 0.000
0.659 0.159 0.000
0.841 0.659 0.000
0.140 0.640 0.500
0.360 0.140 0.500
0.640 0.860 0.500
0.860 0.360 0.500
0.000 0.000 0.000
0.500 0.500 0.000
```

Relative energy among the computed polymorphs in kcal/mol of atoms: 4.59
Magnetization in Bohr magnetons per cell: 0.00
Theoretical density in Mg/m³: 3.39
SG: No. 127

Entry 8:
Compound: ScAlGe
Source: Alexandria
Functional: PBE
Structure: optimized geometry

```
ScAlGe
1.0
6.612 0.000 0.000
0.000 3.942 0.000
0.000 0.000 8.336
Sc Al Ge
4 4 4
direct
0.024 0.250 0.171
0.476 0.750 0.671
0.524 0.250 0.329
0.976 0.750 0.829
0.162 0.250 0.574
0.338 0.750 0.074
0.662 0.250 0.926
0.838 0.750 0.426
0.228 0.750 0.375
0.272 0.250 0.875
0.728 0.750 0.125
0.772 0.250 0.625
```

Uncorrected energy in eV/atom: -5.45
Magnetization in Bohr magnetons per cell: 0.00
Theoretical density in Mg/m³: 4.42
SG: No. 62

Entry 9:
Compound: ScAlGe
Source: Alexandria
Functional: PBE
Structure: optimized geometry

```
ScAlGe
1.0
4.002 0.000 0.000
0.000 3.903 0.000
-1.991 0.000 7.102
Sc Al Ge
2 2 2
direct
0.000 0.000 0.000
0.185 0.500 0.373
0.351 0.000 0.698
0.518 0.500 0.036
0.647 0.000 0.295
0.850 0.500 0.694
```

Uncorrected energy in eV/atom: -5.36
Magnetization in Bohr magnetons per cell: 0.00
Theoretical density in Mg/m³: 4.33
SG: No. 6

Entry 10:
Compound: ScAl2Ge2
Source: Alexandria
Functional: PBE
Structure: optimized geometry

```
ScAl2Ge2
1.0
7.163 0.000 0.000
0.000 7.163 0.000
0.000 0.000 3.604
Sc Al Ge
2 4 4
direct
0.000 0.000 0.000
0.500 0.500 0.000
0.152 0.348 0.500
0.348 0.848 0.500
0.652 0.152 0.500
0.848 0.652 0.500
0.143 0.643 0.000
0.357 0.143 0.000
0.643 0.857 0.000
0.857 0.357 0.000
```

Uncorrected energy in eV/atom: -4.80
Magnetization in Bohr magnetons per cell: 0.00
Theoretical density in Mg/m³: 4.39
SG: No. 127

Entry 11:
Compound: Sc4Al2Ge
Source: Alexandria
Functional: PBE
Structure: optimized geometry

```
Sc4Al2Ge
1.0
5.012 0.000 0.000
0.000 5.012 0.000
0.000 0.000 13.774
Sc Al Ge
8 4 2
direct
0.000 0.000 0.188
0.000 0.000 0.812
0.000 0.500 0.000
0.000 0.500 0.500
0.500 0.000 0.000
0.500 0.000 0.500
0.500 0.500 0.312
0.500 0.500 0.688
0.000 0.000 0.390
0.000 0.000 0.610
0.500 0.500 0.110
0.500 0.500 0.890
0.000 0.000 0.000
0.500 0.500 0.500
```

Uncorrected energy in eV/atom: -5.45
Magnetization in Bohr magnetons per cell: 0.00
Theoretical density in Mg/m³: 2.94
SG: No. 139

Entry 12:
Compound: Sc3AlGe2
Source: Alexandria
Functional: PBE
Structure: optimized geometry

```
Sc3AlGe2
1.0
3.924 0.000 0.000
0.000 4.099 0.000
0.000 0.000 14.494
Sc Al Ge
6 2 4
direct
0.000 0.000 0.000
0.000 0.500 0.327
0.000 0.500 0.673
0.500 0.000 0.173
0.500 0.000 0.827
0.500 0.500 0.500
0.000 0.000 0.500
0.500 0.500 0.000
0.000 0.500 0.135
0.000 0.500 0.865
0.500 0.000 0.365
0.500 0.000 0.635
```

Uncorrected energy in eV/atom: -6.07
Magnetization in Bohr magnetons per cell: 0.00
Theoretical density in Mg/m³: 4.38
SG: No. 71